#w
Sm2Tm3Cd3 | GGA-PBE | relaxed

a = 3.743 Å, b = 5.279 Å, c = 11.579 Å
α = 103.18°, β = 99.30°, γ = 90.00°
Fractional coordinates of all 8 atoms:
Sm 0.732 0.232 0.464
Sm 0.268 0.768 0.536
Tm 0.621 0.621 0.242
Tm 0.379 0.379 0.758
Tm 0.500 0.000 0.000
Cd 0.114 0.114 0.227
Cd 0.886 0.886 0.773
Cd 0.000 0.500 0.000

=====

#x
Sm2Tm3Cd3 | GGA-PBE | relaxed

a = 4.885 Å, b = 4.876 Å, c = 9.195 Å
α = 90.00°, β = 90.00°, γ = 90.00°
Fractional coordinates of all 8 atoms:
Tm 0.500 0.000 0.000
Tm 0.500 0.500 0.270
Tm 0.500 0.500 0.730
Cd 0.500 0.000 0.500
Cd 0.000 0.500 0.000
Cd 0.000 0.500 0.500
Sm 0.000 0.000 0.256
Sm 0.000 0.000 0.744

=====

Most favorable structure: #w. The second most favorable one is 4.5 kJ/mol of atoms above it.

=====

#w
SmTmCd4 | GGA-PBE | relaxed

a = 5.919 Å, b = 5.919 Å, c = 5.919 Å
α = 60.00°, β = 60.00°, γ = 60.00°
Fractional coordinates of all 6 atoms:
Cd 0.625 0.625 0.125
Cd 0.625 0.125 0.625
Cd 0.625 0.625 0.625
Cd 0.125 0.625 0.625
Tm 0.000 0.000 0.000
Sm 0.250 0.250 0.250

=====

#x
SmTmCd4 | GGA-PBE | relaxed

a = 3.446 Å, b = 5.538 Å, c = 8.456 Å
α = 90.00°, β = 89.96°, γ = 90.01°
Fractional coordinates of all 6 atoms:
Tm 0.001 0.997 0.498
Cd 0.501 0.998 0.813
Cd 0.001 0.497 0.323
Cd 0.502 0.998 0.183
Cd 0.002 0.497 0.673
Sm 0.501 0.497 0.998

=====

Most favorable structure: #w. The second most favorable one is 17.8 kJ/mol of atoms above it.